Density functional theory data (PBE+U) for crystalline Pu2NiPbO8 at its relaxed geometry.

Properties
SG ... P-3m1 (164)
Raw total energy ... -7.8199 eV per atom

Unit cell a=6.346 b=6.346 c=6.202 alpha=90.00 beta=90.00 gamma=120.00
Each line ends with the local moment (μB).
Sites, in units of the cell vectors:
O  0.333  0.667  0.494  -0.21
Pu  0.667  0.333  0.204  2.86
O  0.850  0.699  0.197  -0.15
O  0.150  0.301  0.803  -0.15
Pu  0.333  0.667  0.796  2.86
O  0.150  0.850  0.803  -0.15
O  0.850  0.150  0.197  -0.15
Pb  0.000  0.000  0.500  -0.04
Ni  0.000  0.000  0.000  1.68
O  0.699  0.850  0.803  -0.15
O  0.301  0.150  0.197  -0.15
O  0.667  0.333  0.506  -0.21